{"formula": "LiLuTh2", "functional": "PBE", "state": "relaxed", "relative_energy_mev_per_atom": 87, "cell": [[-2.8559, -0.1643, -1.8655], [0.1915, -0.1395, -3.4069], [-0.5194, -12.5180, -1.2285]], "species": ["Lu", "Th", "Th", "Li"], "fractional_positions": [[0.5000, 0.5000, 0.5000], [0.0886, 0.0886, 0.7341], [0.9114, 0.9114, 0.2659], [0.0000, 0.0000, 0.0000]]}

=====

{"formula": "HoZr2", "functional": "PBE", "state": "relaxed", "cell": [[-0.8952, 1.6275, 2.7522], [-2.8528, 1.6950, 0.0623], [-5.0739, -5.4220, 3.5585]], "species": ["Ho", "Zr", "Zr"], "fractional_positions": [[0.2816, 0.0254, 0.5529], [0.5029, 0.2455, 0.8988], [0.0601, 0.8055, 0.2071]]}

=====

{"formula": "Co3OsBr", "functional": "PBE", "state": "relaxed", "formation_energy_uncorrected_ev_per_atom": 1.50, "relative_energy_mev_per_atom": 0, "cell": [[-1.5006, 0.2658, 4.3720], [-0.6945, -4.5775, 0.0399], [4.3247, -0.6429, 1.5235]], "species": ["Co", "Co", "Co", "Os", "Br"], "fractional_positions": [[0.0000, 0.5000, 0.0000], [0.0000, 0.0000, 0.5000], [0.5000, 0.0000, 0.0000], [0.0000, 0.0000, 0.0000], [0.5000, 0.5000, 0.5000]]}

=====

{"formula": "Na2BeAu2", "functional": "PBE", "state": "relaxed", "cell": [[-3.7063, -5.0121, -0.3695], [3.7325, -3.0526, 3.9680], [-2.7199, 1.7248, 3.8854]], "species": ["Na", "Na", "Na", "Na", "Au", "Au", "Au", "Au", "Be", "Be"], "fractional_positions": [[0.1694, 0.6694, 0.5000], [0.6694, 0.8306, 0.5000], [0.8306, 0.3306, 0.5000], [0.3306, 0.1694, 0.5000], [0.3405, 0.8405, 0.0000], [0.8405, 0.6595, 0.0000], [0.6595, 0.1595, 0.0000], [0.1595, 0.3405, 0.0000], [0.0000, 0.0000, 0.0000], [0.5000, 0.5000, 0.0000]]}

=====

{"formula": "NaErInAg", "functional": "PBE", "state": "relaxed", "cell": [[-3.4610, 3.6539, 1.0519], [-4.8534, -0.5140, -1.6176], [-3.7561, -0.9161, 3.3895]], "species": ["Na", "In", "Ag", "Er"], "fractional_positions": [[0.5000, 0.5000, 0.5000], [0.7500, 0.7500, 0.7500], [0.2500, 0.2500, 0.2500], [0.0000, 0.0000, 0.0000]]}

=====

{"formula": "SrNiBi2Ru", "functional": "PBE", "state": "relaxed", "cell": [[5.1751, 0.0000, 0.0000], [0.0000, 5.6676, 0.0000], [0.0000, 0.0000, 5.1751]], "species": ["Ru", "Ni", "Bi", "Bi", "Sr"], "fractional_positions": [[0.0000, 0.0000, 0.0000], [0.5000, 0.5000, 0.5000], [0.0000, 0.0000, 0.5000], [0.5000, 0.0000, 0.0000], [0.0000, 0.5000, 0.0000]]}

=====

no.,volume (Å³ per atom),raw total energy (eV/atom)
1,31.4,-5.09
2,25.5,-7.14
3,19.9,-5.34
4,19.7,-2.73
5,24.0,-3.02
6,30.4,-4.36